Model A:
The following is a GGA+U calculation of crystalline NiBiAsO5 at its relaxed geometry, from the Alexandria database.

a = 5.986 Å, b = 5.986 Å, c = 8.097 Å
α = 99.59°, β = 99.59°, γ = 117.97°
Positions (direct):
Ni (0.216, 0.784, 0.750)
Ni (0.784, 0.216, 0.250)
Bi (0.500, 0.500, 0.000)
Bi (0.500, 0.500, 0.500)
As (0.201, 0.799, 0.250)
As (0.799, 0.201, 0.750)
O (0.027, 0.247, 0.930)
O (0.140, 0.513, 0.317)
O (0.247, 0.027, 0.430)
O (0.398, 0.602, 0.750)
O (0.487, 0.860, 0.183)
O (0.513, 0.140, 0.817)
O (0.602, 0.398, 0.250)
O (0.753, 0.973, 0.570)
O (0.860, 0.487, 0.683)
O (0.973, 0.753, 0.070)

Output
Magnetic moment = 3.99 Bohr magnetons per cell


Model B:
The following is a GGA+U calculation of crystalline NiBiAsO5 at its relaxed geometry, from the Alexandria database.

a = 5.327 Å, b = 6.817 Å, c = 6.934 Å
α = 111.26°, β = 106.96°, γ = 96.12°
Positions (direct):
Ni (0.167, 0.134, 0.262)
Ni (0.833, 0.866, 0.738)
Bi (0.400, 0.734, 0.963)
Bi (0.600, 0.266, 0.037)
As (0.159, 0.687, 0.390)
As (0.841, 0.313, 0.610)
O (0.083, 0.416, 0.203)
O (0.132, 0.262, 0.569)
O (0.230, 0.003, 0.953)
O (0.269, 0.849, 0.274)
O (0.420, 0.725, 0.627)
O (0.580, 0.275, 0.373)
O (0.731, 0.151, 0.726)
O (0.770, 0.997, 0.047)
O (0.868, 0.738, 0.431)
O (0.917, 0.584, 0.797)

Output
Magnetic moment = 3.96 Bohr magnetons per cell


Out of the structures above, which one is the least stable? Solution: model A.